[1]
Crystalline LiNpCuSe3 at its relaxed geometry. Source: OQMD via LeMat-Bulk, functional PBE.

Structure (POSCAR):
```
LiNpCuSe3
1.0
1.985 -6.395 0.000
1.985 6.395 0.000
0.000 0.000 10.546
Cu Li Np Se
2 2 2 6
direct
0.980 0.020 0.250
0.020 0.980 0.750
0.269 0.731 0.250
0.731 0.269 0.750
0.500 0.500 0.000
0.500 0.500 0.500
0.856 0.144 0.075
0.593 0.407 0.250
0.856 0.144 0.425
0.144 0.856 0.575
0.407 0.593 0.750
0.144 0.856 0.925
```

Results
Electronic total energy: -0.422 Ry per atom
M_tot: 3.03 μB per formula unit

[2]
Crystalline LiNpCuTe3 at its relaxed geometry. Source: OQMD via LeMat-Bulk, functional PBE.

Structure (POSCAR):
```
LiNpCuTe3
1.0
-0.036 7.184 -1.574
-3.425 -5.622 3.278
5.541 2.077 9.351
Cu Li Np Te
2 2 2 6
direct
0.479 0.521 0.250
0.521 0.479 0.750
0.798 0.202 0.250
0.202 0.798 0.750
0.000 0.000 0.000
0.000 0.000 0.500
0.355 0.645 0.073
0.093 0.907 0.250
0.355 0.645 0.427
0.645 0.355 0.573
0.907 0.093 0.750
0.645 0.355 0.927
```

Results
Electronic total energy: -0.385 Ry per atom
M_tot: 3.00 μB per formula unit

no.,density (Mg/m³)
1,6.8
2,7.1